# TeAs2Pb

Crystalline TeAs2Pb at its relaxed geometry (PBE, the Alexandria database).

Computed properties:
The energy relative to the elements, uncorrected is 32 kJ/mol of atoms. The calculation puts the energy above the most stable polymorph in this dataset at 394.3 meV/atom.

a = 7.3197 Å, b = 7.3197 Å, c = 7.3197 Å
α = 90.00°, β = 90.00°, γ = 90.00°
Closest atoms and distances in Å follow each position.
Space group Fm-3m (No. 225)
One atom of each set of equivalent atoms:
Te 0.0000 0.0000 0.0000 x4  8 As 3.17
As 0.2500 0.2500 0.2500 x8  4 Te 3.17, 4 Pb 3.17
Pb 0.0000 0.0000 0.5000 x4  8 As 3.17

=====

# Pm6Pr4Mg

Crystalline Pm6Pr4Mg at its relaxed geometry (PBE, the Alexandria database).

Computed properties:
For the formation enthalpy at 0 K, the calculation gives 0.25 eV/atom.

a = 6.7006 Å, b = 6.7006 Å, c = 17.0877 Å
α = 90.00°, β = 90.00°, γ = 90.00°
Closest atoms and distances in Å follow each position.
Space group I-42m (No. 121)
One atom of each set of equivalent atoms:
Pm 0.0000 0.5000 0.0000 x4  4 Pm 3.22, 2 Mg 3.35
Pm 0.1654 0.1654 0.3811 x8  3 Pm 3.14-3.22, 1 Pr 3.46
Pr 0.1817 0.1817 0.1789 x8  1 Pr 3.44, 5 Pm 3.46-3.75, 1 Mg 3.51
Mg 0.0000 0.0000 0.0000 x2  4 Pm 3.35, 4 Pr 3.51

=====

# EuZnHg

Crystalline EuZnHg at its relaxed geometry (PBE, the Alexandria database).

Computed properties:
For the formation enthalpy at 0 K, the calculation gives -0.40 eV/atom.

a = 4.7545 Å, b = 4.7545 Å, c = 3.9176 Å
α = 90.00°, β = 90.00°, γ = 120.00°
Closest atoms and distances in Å follow each position.
Space group P-6m2 (No. 187)
One atom of each set of equivalent atoms:
Eu 0.0000 0.0000 0.0000 x1  6 Hg 3.37, 6 Zn 3.37
Zn 0.3333 0.6667 0.5000 x1  3 Hg 2.75
Hg 0.6667 0.3333 0.5000 x1  3 Zn 2.75

=====

# InSn3Se6

Crystalline InSn3Se6 at its relaxed geometry (PBE, the Alexandria database).

Computed properties:
The energy relative to the elements, uncorrected is -31 kJ/mol of atoms. The calculation puts the energy above the most stable polymorph in this dataset at 0.0 meV/atom.

a = 12.7395 Å, b = 3.8873 Å, c = 13.0880 Å
α = 90.00°, β = 117.98°, γ = 90.00°
Closest atoms and distances in Å follow each position.
Space group P2_1/m (No. 11)
One atom of each set of equivalent atoms:
In 0.1894 0.2500 0.2383 x2  6 Se 2.86-2.91
Sn 0.1391 0.7500 0.6130 x2  3 Se 2.72-2.80
Sn 0.1461 0.2500 0.9058 x2  5 Se 2.68-2.78
Sn 0.4949 0.7500 0.2701 x2  4 Se 2.56-2.65
Se 0.0584 0.7500 0.2928 x2  1 Sn 2.68, 2 In 2.86
Se 0.1420 0.7500 0.0561 x2  2 Sn 2.78, 2 In 2.91
Se 0.2633 0.7500 0.8483 x2  3 Sn 2.72-2.76
Se 0.2765 0.2500 0.5770 x2  3 Sn 2.65-2.80
Se 0.3676 0.7500 0.3746 x2  1 Sn 2.56
Se 0.4450 0.2500 0.1260 x2  2 Sn 2.57

=====

Which formula does entry 3 have? EuZnHg